Arrangement P

A plane-wave DFT calculation with PBE-GGA was carried out for a geometry-optimized Sn2MoAu2 structure.

CIF file:
```
data_Sn2MoAu2
_cell_length_a 3.6956
_cell_length_b 3.6956
_cell_length_c 15.6710
_cell_angle_alpha 90.00
_cell_angle_beta 90.00
_cell_angle_gamma 90.00
_space_group_name_H-M_alt 'I 4/m m m'
_space_group_IT_number 139
_space_group_name_Hall '-I 4 2'
loop_
_atom_site_label
_atom_site_fract_x
_atom_site_fract_y
_atom_site_fract_z
Sn1 0.0000 0.0000 0.0951
Mo1 0.0000 0.0000 0.5000
Au1 0.0000 0.5000 0.2500
```

Total magnetization   0.0530 μB/atom


Arrangement Q

A plane-wave DFT calculation with PBE-GGA was carried out for a geometry-optimized Sn2MoAu2 structure.

CIF file:
```
data_Sn2MoAu2
_cell_length_a 7.4607
_cell_length_b 7.4607
_cell_length_c 3.7095
_cell_angle_alpha 90.00
_cell_angle_beta 90.00
_cell_angle_gamma 90.00
_space_group_name_H-M_alt 'P 4/m b m'
_space_group_IT_number 127
_space_group_name_Hall '-P 4 2ab'
loop_
_atom_site_label
_atom_site_fract_x
_atom_site_fract_y
_atom_site_fract_z
Sn1 0.1586 0.3414 0.0000
Mo1 0.0000 0.0000 0.0000
Au1 0.1443 0.6443 0.5000
```

Total magnetization   0.0000 μB/atom


Short version: arrangement P is the most stable of them.


Arrangement P

A plane-wave DFT calculation with PBE-GGA was carried out for a geometry-optimized Sn3MoAu structure.

CIF file:
```
data_Sn3MoAu
_cell_length_a 5.3307
_cell_length_b 5.3307
_cell_length_c 5.3307
_cell_angle_alpha 90.00
_cell_angle_beta 90.00
_cell_angle_gamma 90.00
_space_group_name_H-M_alt 'P m -3 m'
_space_group_IT_number 221
_space_group_name_Hall '-P 4 2 3'
loop_
_atom_site_label
_atom_site_fract_x
_atom_site_fract_y
_atom_site_fract_z
Sn1 0.0000 0.0000 0.5000
Mo1 0.5000 0.5000 0.5000
Au1 0.0000 0.0000 0.0000
```

Total magnetization   0.7986 μB/atom


Arrangement Q

A plane-wave DFT calculation with PBE-GGA was carried out for a geometry-optimized Sn3MoAu structure.

CIF file:
```
data_Sn3MoAu
_cell_length_a 5.2347
_cell_length_b 5.2347
_cell_length_c 5.2347
_cell_angle_alpha 90.00
_cell_angle_beta 90.00
_cell_angle_gamma 90.00
_space_group_name_H-M_alt 'P m -3 m'
_space_group_IT_number 221
_space_group_name_Hall '-P 4 2 3'
loop_
_atom_site_label
_atom_site_fract_x
_atom_site_fract_y
_atom_site_fract_z
Sn1 0.0000 0.0000 0.5000
Mo1 0.0000 0.0000 0.0000
Au1 0.5000 0.5000 0.5000
```

Total magnetization   0.1523 μB/atom


Short version: arrangement Q is the most stable of them.